An optimized crystal structure of YPt3Pb, computed with PBE-GGA.

Computed properties:
E_form   0.51 eV/atom
Energy above the most stable polymorph in this dataset   0.1976 eV per atom
Total magnetization   0.00 μB/f.u.
Space-group type   Pm-3m (221)
DOS at the Fermi energy   0.6435 states/eV/atom

Unit cell a=5.1647 b=5.1647 c=5.1647 alpha=90.00 beta=90.00 gamma=90.00
Element x y z (fractional)
Pt: 0.0000 0.5000 0.0000
Pt: 0.0000 0.0000 0.5000
Pt: 0.5000 0.0000 0.0000
Pb: 0.5000 0.5000 0.5000
Y: 0.0000 0.0000 0.0000